Record 1
# CaCd2Rh

Crystalline CaCd2Rh at its relaxed geometry (GGA-PBE, Alexandria).

```
CaCd2Rh
1.0
-4.6454 3.5784 -7.1954
-5.9786 0.4046 -7.0888
-7.2421 2.8726 -5.0458
Rh Cd Ca
1 2 1
Cartesian
-4.4665 1.7139 -4.8325
-9.1571 3.5138 -9.9075
-17.6420 6.7696 -19.0876
-13.3995 5.1417 -14.4975
```

Properties
ΔH_f (0 K) (eV per atom): 0.069
SG: No. 166

=====

Record 2
# KNa2SrH

Crystalline KNa2SrH at its relaxed geometry (GGA-PBE, Alexandria).

```
KNa2SrH
1.0
6.3884 0.0000 0.0000
0.0000 6.3884 0.0000
0.0000 0.0000 4.6929
Na H K Sr
2 1 1 1
Cartesian
3.1942 0.0000 0.0000
0.0000 3.1942 0.0000
0.0000 0.0000 0.0000
3.1942 3.1942 2.3464
0.0000 0.0000 2.3464
```

Properties
Total DFT energy (no corrections) (eV/cell): -8.792
SG: No. 123

=====

Record 3
# Mo11Ru4

Crystalline Mo11Ru4 at its relaxed geometry (GGA-PBE, Alexandria).

```
Mo11Ru4
1.0
-4.7717 -7.9799 -2.6661
3.1821 -4.5491 7.9206
-4.0010 1.5567 2.5015
Mo Ru
22 8
Cartesian
-2.7953 -5.4861 3.8780
1.0924 -3.4773 3.9112
-2.0753 -8.1377 4.1963
-2.1669 -0.5332 1.8008
0.5627 -7.6521 5.6620
0.0378 -5.9053 3.7354
-2.6820 -9.0517 1.3433
-6.3313 -6.1960 1.1155
-3.4237 -10.4391 5.9552
-2.1523 -4.8769 -0.4076
0.7407 -4.7762 6.6404
-0.9996 -1.2056 4.0863
-3.6499 -2.3488 0.5587
-4.5910 -9.7666 3.6696
-4.3438 -6.9694 -0.1272
0.0000 0.0000 0.0000
-1.9407 -8.6235 7.1972
-1.6274 -6.6236 1.5190
-1.2469 -4.0029 7.8831
-3.5153 -2.8346 3.5596
-1.5019 -3.6179 2.3008
-4.0888 -7.3543 5.4551
-2.1034 -10.7702 3.3381
-1.0454 -2.4314 -0.1591
-1.6211 -6.1405 6.1633
0.5138 -1.7588 1.9164
-4.2811 -7.2879 2.6227
-3.9695 -4.8317 1.5926
-0.5442 -10.0976 5.4135
-1.3095 -3.6843 5.1332
```

Properties
ΔH_f (0 K) (eV per atom): 0.034
SG: No. 136

=====

Record 4
# CeMgIr

Crystalline CeMgIr at its relaxed geometry (GGA-PBE, Alexandria).

```
CeMgIr
1.0
4.0574 0.0000 0.0000
0.0000 7.3557 0.0092
0.0000 -0.0081 12.7747
Mg Ce Ir
6 6 6
Cartesian
3.0430 7.3056 11.7039
3.0430 4.5824 10.2339
1.0143 0.0420 1.0800
1.0143 2.7652 2.5500
1.0143 6.3580 5.8962
3.0430 0.9896 6.8877
3.0430 4.8868 1.0427
1.0143 3.3782 7.9814
1.0143 7.0062 9.1209
1.0143 2.4608 11.7412
3.0430 0.3414 3.6629
3.0430 3.9694 4.8025
1.0143 5.4471 11.8184
3.0430 1.7949 9.5705
1.0143 1.8762 5.2340
3.0430 1.9005 0.9655
1.0143 5.5527 3.2133
3.0430 5.4714 7.5499
```

Properties
ΔH_f (0 K) (eV per atom): -0.614
SG: No. 11